The following is a SCAN calculation of YAl2Tl at its PBEsol-relaxed geometry, from the Alexandria database.

```
data_YAl2Tl
_cell_length_a 3.552
_cell_length_b 3.552
_cell_length_c 6.883
_cell_angle_alpha 90.00
_cell_angle_beta 90.00
_cell_angle_gamma 90.00
_space_group_name_H-M_alt 'P 4 m m'
_space_group_IT_number 99
loop_
_space_group_symop_operation_xyz
'x,y,z'
'-y,x,z'
'-x,-y,z'
'y,-x,z'
'-x,y,z'
'y,x,z'
'x,-y,z'
'-y,-x,z'
loop_
_atom_site_label
_atom_site_type_symbol
_atom_site_fract_x
_atom_site_fract_y
_atom_site_fract_z
_atom_site_occupancy
Y1 Y 0.000 0.000 0.000 1
Al1 Al 0.000 0.000 0.455 1
Al2 Al 0.500 0.500 0.268 1
Tl1 Tl 0.500 0.500 0.697 1
```

Output
Energy   -29.13 eV/atom
Magnetization   0.5 μB per formula unit
N(E_F)   1.796 states/eV/f.u.
Energy relative to the elements   -206 meV/atom